1.
Compound: SrLi3La
Source: the Alexandria database
Functional: GGA-PBE
Structure: relaxed

ΔE_f: 0.672 eV/atom
space group: Pm-3m, No. 221

The structure in CIF format:
```
data_SrLi3La
_chemical_formula_sum 'Sr1 Li3 La1'
_cell_length_a 5.533
_cell_length_b 5.533
_cell_length_c 5.533
_cell_angle_alpha 90.00
_cell_angle_beta 90.00
_cell_angle_gamma 90.00
_symmetry_space_group_name_H-M 'P 1'
_symmetry_Int_Tables_number 1
loop_
_symmetry_equiv_pos_as_xyz
'x,y,z'
loop_
_atom_site_label
_atom_site_fract_x
_atom_site_fract_y
_atom_site_fract_z
Sr1 0.000 0.000 0.000
Li1 0.000 0.500 0.000
Li2 0.000 0.000 0.500
Li3 0.500 0.000 0.000
La1 0.500 0.500 0.500
```

***

2.
Compound: Na3Ac3HfO8
Source: the Alexandria database
Functional: GGA-PBE
Structure: relaxed

space group: R-3m, No. 166
final energy: -7.13 eV/atom

The structure in CIF format:
```
data_Na3Ac3HfO8
_chemical_formula_sum 'Na3 Ac3 Hf1 O8'
_cell_length_a 7.374
_cell_length_b 7.375
_cell_length_c 7.033
_cell_angle_alpha 121.62
_cell_angle_beta 89.99
_cell_angle_gamma 120.01
_symmetry_space_group_name_H-M 'P 1'
_symmetry_Int_Tables_number 1
loop_
_symmetry_equiv_pos_as_xyz
'x,y,z'
loop_
_atom_site_label
_atom_site_fract_x
_atom_site_fract_y
_atom_site_fract_z
Na1 0.000 0.000 0.000
Na2 0.000 0.500 0.000
Na3 0.500 0.500 0.000
Ac1 0.500 0.000 0.500
Ac2 0.500 0.500 0.500
Ac3 0.000 0.500 0.500
Hf1 0.000 0.000 0.500
O1 0.259 0.517 0.276
O2 0.741 0.483 0.724
O3 0.790 0.581 0.300
O4 0.210 0.419 0.700
O5 0.790 0.010 0.300
O6 0.210 0.990 0.700
O7 0.219 0.010 0.300
O8 0.781 0.990 0.700
```

***

Number 1: total magnetic moment 0.0 μB per cell, density 2.4 g cm⁻³, V 33.9 Å³/atom. Number 2: total magnetic moment 0.0 μB per cell, density 6.7 g cm⁻³, V 17.6 Å³/atom.